[1]
# La2PrO PBE relaxed
# * E_form (uncorrected): -1.275 eV per atom
data_La2PrO
_symmetry_space_group_name_H-M 'R -3 m'
_symmetry_Int_Tables_number 166
_symmetry_space_group_name_Hall '-R 3 2"'
_cell_length_a 3.7547
_cell_length_b 3.7547
_cell_length_c 27.7963
_cell_angle_alpha 90.00
_cell_angle_beta 90.00
_cell_angle_gamma 120.00
loop_
_atom_site_label
_atom_site_type_symbol
_atom_site_fract_x
_atom_site_fract_y
_atom_site_fract_z
La1 La 0.0000 0.0000 0.2182
Pr1 Pr 0.0000 0.0000 0.0000
O1 O 0.0000 0.0000 0.5000


[2]
# NbCdNO2 PBE relaxed
# * E_form (uncorrected): -1.128 eV per atom
data_NbCdNO2
_symmetry_space_group_name_H-M 'P 4/m m m'
_symmetry_Int_Tables_number 123
_symmetry_space_group_name_Hall '-P 4 2'
_cell_length_a 3.966
_cell_length_b 3.966
_cell_length_c 4.239
_cell_angle_alpha 90.00
_cell_angle_beta 90.00
_cell_angle_gamma 90.00
loop_
_atom_site_label
_atom_site_type_symbol
_atom_site_fract_x
_atom_site_fract_y
_atom_site_fract_z
Nb1 Nb 0.000 0.000 0.000
Cd1 Cd 0.500 0.500 0.500
N1 N 0.000 0.000 0.500
O1 O 0.000 0.500 0.000


[3]
# TlAg6Se4 PBE relaxed
# * excess energy over the best structure of this formula in the dataset: 0.00 eV per formula unit
# * E_form (uncorrected): -0.064 eV per atom
data_TlAg6Se4
_symmetry_space_group_name_H-M 'P -6 m 2'
_symmetry_Int_Tables_number 187
_symmetry_space_group_name_Hall 'P -6 2'
_cell_length_a 8.2923
_cell_length_b 8.2923
_cell_length_c 4.0584
_cell_angle_alpha 90.00
_cell_angle_beta 90.00
_cell_angle_gamma 120.00
loop_
_atom_site_label
_atom_site_type_symbol
_atom_site_fract_x
_atom_site_fract_y
_atom_site_fract_z
Tl1 Tl 0.0000 0.0000 0.0000
Ag1 Ag 0.0935 0.5468 0.0000
Ag2 Ag 0.3972 0.1986 0.5000
Se1 Se 0.1808 0.3616 0.5000
Se2 Se 0.6667 0.3333 0.0000


[4]
# CoNi4 PBE relaxed
# * excess energy over the best structure of this formula in the dataset: 0.00 eV per formula unit
# * energy of formation: -0.0021 eV/atom
data_CoNi4
_symmetry_space_group_name_H-M 'R -3 m'
_symmetry_Int_Tables_number 166
_symmetry_space_group_name_Hall '-R 3 2"'
_cell_length_a 2.4858
_cell_length_b 2.4858
_cell_length_c 30.5250
_cell_angle_alpha 90.00
_cell_angle_beta 90.00
_cell_angle_gamma 120.00
loop_
_atom_site_label
_atom_site_type_symbol
_atom_site_fract_x
_atom_site_fract_y
_atom_site_fract_z
Co1 Co 0.0000 0.0000 0.0000
Ni1 Ni 0.0000 0.0000 0.2000
Ni2 Ni 0.0000 0.0000 0.3996


[5]
# CsPuGaTe3 PBE relaxed
# * E_form (uncorrected): -0.794 eV per atom
data_CsPuGaTe3
_symmetry_space_group_name_H-M 'P 1 21/m 1'
_symmetry_Int_Tables_number 11
_cell_length_a 10.724
_cell_length_b 4.303
_cell_length_c 10.905
_cell_angle_alpha 90.00
_cell_angle_beta 108.43
_cell_angle_gamma 90.00
loop_
_symmetry_equiv_pos_as_xyz
'x,y,z'
'-x,-y,-z'
'-x,y+1/2,-z'
'x,-y+1/2,z'
loop_
_atom_site_label
_atom_site_type_symbol
_atom_site_fract_x
_atom_site_fract_y
_atom_site_fract_z
Cs1 Cs 0.190 0.250 0.232
Pu1 Pu 0.348 0.750 0.844
Ga1 Ga 0.103 0.250 0.558
Te1 Te 0.132 0.250 0.821
Te2 Te 0.282 0.750 0.551
Te3 Te 0.444 0.750 0.142


[6]
# Ca5SmMg6 PBE relaxed
# * energy of formation: -0.0828 eV/atom
data_Ca5SmMg6
_symmetry_space_group_name_H-M 'P -1'
_symmetry_Int_Tables_number 2
_cell_length_a 5.618
_cell_length_b 7.781
_cell_length_c 9.670
_cell_angle_alpha 66.30
_cell_angle_beta 73.53
_cell_angle_gamma 90.00
loop_
_symmetry_equiv_pos_as_xyz
'x,y,z'
'-x,-y,-z'
loop_
_atom_site_label
_atom_site_type_symbol
_atom_site_fract_x
_atom_site_fract_y
_atom_site_fract_z
Ca1 Ca 0.000 0.000 0.000
Ca2 Ca 0.333 0.333 0.334
Ca3 Ca 0.335 0.835 0.331
Sm1 Sm 0.000 0.500 0.000
Mg1 Mg 0.165 0.420 0.670
Mg2 Mg 0.165 0.909 0.671
Mg3 Mg 0.499 0.740 0.001


[7]
# MgInSi2 PBE relaxed
# * excess energy over the best structure of this formula in the dataset: 0.11 eV per formula unit
# * E_form (uncorrected): 0.210 eV per atom
data_MgInSi2
_symmetry_space_group_name_H-M 'P 4 m m'
_symmetry_Int_Tables_number 99
_cell_length_a 3.334
_cell_length_b 3.334
_cell_length_c 7.082
_cell_angle_alpha 90.00
_cell_angle_beta 90.00
_cell_angle_gamma 90.00
loop_
_symmetry_equiv_pos_as_xyz
'x,y,z'
'-y,x,z'
'-x,-y,z'
'y,-x,z'
'-x,y,z'
'y,x,z'
'x,-y,z'
'-y,-x,z'
loop_
_atom_site_label
_atom_site_type_symbol
_atom_site_fract_x
_atom_site_fract_y
_atom_site_fract_z
Mg1 Mg 0.000 0.000 0.000
In1 In 0.500 0.500 0.693
Si1 Si 0.000 0.000 0.396
Si2 Si 0.500 0.500 0.257


[8]
# AlIr3Au PBE relaxed
# * excess energy over the best structure of this formula in the dataset: 0.00 eV per formula unit
# * energy of formation: 1.1265 eV/atom
data_AlIr3Au
_symmetry_space_group_name_H-M 'P m -3 m'
_symmetry_Int_Tables_number 221
_symmetry_space_group_name_Hall '-P 4 2 3'
_cell_length_a 4.466
_cell_length_b 4.466
_cell_length_c 4.466
_cell_angle_alpha 90.00
_cell_angle_beta 90.00
_cell_angle_gamma 90.00
loop_
_atom_site_label
_atom_site_type_symbol
_atom_site_fract_x
_atom_site_fract_y
_atom_site_fract_z
Al1 Al 0.000 0.000 0.000
Ir1 Ir 0.000 0.000 0.500
Au1 Au 0.500 0.500 0.500


> Which formula does entry 5 have?

CsPuGaTe3